Sm2ErH: relaxed, PBE.

Lattice parameters (Å, degrees): 3.6463 3.6463 25.8394 90.00 90.00 120.00
Closest atoms and distances in Å follow each position.
Sites, in units of the cell vectors:
Sm  0.0000  0.0000  0.2219  3 H 2.54
Sm  0.0000  0.0000  0.7781  3 H 2.54
Sm  0.3333  0.6667  0.4447  3 H 2.54
Sm  0.3333  0.6667  0.8886  3 H 2.54
Sm  0.6667  0.3333  0.1114  3 H 2.54
Sm  0.6667  0.3333  0.5553  3 H 2.54
Er  0.0000  0.0000  0.0000  6 Sm 3.57, 6 Er 3.65
Er  0.3333  0.6667  0.6667  6 Sm 3.57, 6 Er 3.65
Er  0.6667  0.3333  0.3333  6 Sm 3.57, 6 Er 3.65
H  0.0000  0.0000  0.5000  6 Sm 2.54
H  0.3333  0.6667  0.1667  6 Sm 2.54
H  0.6667  0.3333  0.8333  6 Sm 2.54

Calculated values
energy relative to the lowest polymorph listed for this composition = 0 meV/atom

***

Sm2Er4Tl3H2: relaxed, PBE.

Lattice parameters (Å, degrees): 12.6698 12.6698 12.6698 158.38 158.38 30.76
Closest atoms and distances in Å follow each position.
Sites, in units of the cell vectors:
Sm  0.1963  0.1963  0.0000  1 H 2.40
Sm  0.8037  0.8037  0.0000  1 H 2.40
Er  0.0827  0.5827  0.5000  2 H 2.41
Er  0.4173  0.9173  0.5000  2 H 2.41
Er  0.5827  0.0827  0.5000  2 H 2.41
Er  0.9173  0.4173  0.5000  2 H 2.41
Tl  0.3284  0.3284  0.0000  4 Er 3.22, 5 Sm 3.23-3.41
Tl  0.5000  0.5000  0.0000  8 Er 3.12
Tl  0.6716  0.6716  0.0000  4 Er 3.22, 5 Sm 3.23-3.41
H  0.0981  0.0981  0.0000  1 Sm 2.40, 4 Er 2.41
H  0.9019  0.9019  0.0000  1 Sm 2.40, 4 Er 2.41

***

ErSnH2: relaxed, PBE.

Lattice parameters (Å, degrees): 3.5466 3.5466 16.7536 90.00 90.00 120.00
Closest atoms and distances in Å follow each position.
Sites, in units of the cell vectors:
Er  0.0000  0.0000  0.0000  6 H 2.11
Er  0.3333  0.6667  0.6667  6 H 2.11
Er  0.6667  0.3333  0.3333  6 H 2.11
Sn  0.0000  0.0000  0.5000  8 H 3.06-3.31
Sn  0.3333  0.6667  0.1667  8 H 3.06-3.31
Sn  0.6667  0.3333  0.8333  8 H 3.06-3.31
H  0.0000  0.0000  0.3027  3 Er 2.11, 3 H 2.29
H  0.0000  0.0000  0.6973  3 Er 2.11, 3 H 2.29
H  0.3333  0.6667  0.3640  3 Er 2.11, 3 H 2.29
H  0.3333  0.6667  0.9694  3 Er 2.11, 3 H 2.29
H  0.6667  0.3333  0.0306  3 Er 2.11, 3 H 2.29
H  0.6667  0.3333  0.6360  3 Er 2.11, 3 H 2.29

***

In order of appearance, DFT total energy = -4.498; -4.066; -4.242 eV per atom.